DFT (PBE with a Hubbard U) results for a geometry-optimized MnCrP2O structure.

Results
offset from the most stable computed form = 134 meV per atom
V = 82.3 Å³ per cell
space group = P4/mmm (123)
electronic total energy = -5.95 eV/atom

a = 4.7901 Å, b = 4.7901 Å, c = 3.5881 Å
α = 90.00°, β = 90.00°, γ = 90.00°
With the nearest neighbours (Å) after each atom.
Fractional coordinates of all 5 atoms:
P (0.5000, 0.0000, 0.0000)  2 Mn 2.40
P (0.0000, 0.5000, 0.0000)  2 Mn 2.40
O (0.0000, 0.0000, 0.5000)  2 Mn 1.79
Cr (0.5000, 0.5000, 0.5000)  8 P 2.99
Mn (0.0000, 0.0000, 0.0000)  2 O 1.79